# 1
Entry from Alexandria via LeMat-Bulk: a relaxed structure of NdOsW (GGA-PBE).

For the raw total energy, the calculation gives -56.21 eV/cell.

It has space group P2_1/m (No. 11), with a = 5.0912 Å, b = 4.3255 Å, c = 6.4906 Å, α = 90.00°, β = 90.57° and γ = 90.00°. The inequivalent atoms are Nd at (0.2471, 0.2500, 0.1400), Os at (0.1754, 0.7500, 0.4681) and W at (0.3476, 0.2500, 0.6232).

***

# 2
Entry from Alexandria via LeMat-Bulk: a relaxed structure of BeAlHg (GGA-PBE).

For the raw total energy, the calculation gives -13.34 eV/cell. The value obtained for the energy above the most stable polymorph in this dataset is 57 kJ/mol of formula units.

It has space group Imm2 (No. 44), with a = 3.4736 Å, b = 3.8786 Å, c = 7.4643 Å, α = 90.00°, β = 90.00° and γ = 90.00°. The inequivalent atoms are Be at (0.0000, 0.0000, 0.0000), Al at (0.0000, 0.0000, 0.3240) and Hg at (0.0000, 0.0000, 0.6702).

***

# 3
Entry from Alexandria via LeMat-Bulk: a relaxed structure of Ac5CeS8 (GGA-PBE).

For the raw total energy, the calculation gives -177.30 eV/cell. For the formation energy without anion corrections, the calculation gives -2.082 eV/atom.

It has space group I-4 (No. 82), with a = 8.9724 Å, b = 8.9724 Å, c = 8.9762 Å, α = 90.00°, β = 90.00° and γ = 90.00°. The inequivalent atoms are Ac at (0.0000, 0.0000, 0.0000), Ac at (0.1255, 0.2510, 0.6223), Ce at (0.0000, 0.5000, 0.2500), S at (0.0730, 0.1798, 0.2965) and S at (0.0767, 0.3273, 0.9513).

***

# 4
Entry from Alexandria via LeMat-Bulk: a relaxed structure of Ac2Mg9Ag6 (GGA-PBE).

For the raw total energy, the calculation gives -41.47 eV/cell.

It has space group P6/mmm (No. 191), with a = 6.0460 Å, b = 6.0460 Å, c = 13.7239 Å, α = 90.00°, β = 90.00° and γ = 120.00°. The inequivalent atoms are Ac at (0.0000, 0.0000, 0.1595), Mg at (0.0000, 0.5000, 0.0000), Mg at (0.0000, 0.5000, 0.3383), Ag at (0.3333, 0.6667, 0.1711) and Ag at (0.3333, 0.6667, 0.5000).

***

# 5
Entry from Alexandria via LeMat-Bulk: a relaxed structure of AlInAs3 (GGA-PBE).

For the raw total energy, the calculation gives -18.33 eV/cell. The value obtained for the energy above the most stable polymorph in this dataset is 0 kJ/mol of formula units.

It has space group Pm-3m (No. 221), with a = 4.9314 Å, b = 4.9314 Å, c = 4.9314 Å, α = 90.00°, β = 90.00° and γ = 90.00°. The inequivalent atoms are Al at (0.0000, 0.0000, 0.0000), In at (0.5000, 0.5000, 0.5000) and As at (0.0000, 0.0000, 0.5000).

***

# 6
Entry from Alexandria via LeMat-Bulk: a relaxed structure of Pm4SiPb2 (GGA-PBE).

For the raw total energy, the calculation gives -71.42 eV/cell. For the formation energy without anion corrections, the calculation gives -0.553 eV/atom. The value obtained for the energy above the most stable polymorph in this dataset is 0 kJ/mol of formula units.

It has space group C2/m (No. 12), with a = 11.7919 Å, b = 4.6935 Å, c = 9.0160 Å, α = 90.00°, β = 121.59° and γ = 90.00°. The inequivalent atoms are Pm at (0.0764, 0.0000, 0.3634), Pm at (0.1700, 0.5000, 0.0605), Si at (0.0000, 0.0000, 0.0000) and Pb at (0.1492, 0.5000, 0.6631).

***

# 7
Entry from Alexandria via LeMat-Bulk: a relaxed structure of Ca2Dy3NpN6 (GGA-PBE).

For the raw total energy, the calculation gives -195.70 eV/cell. For the formation energy without anion corrections, the calculation gives -1.429 eV/atom.

It has space group C2/m (No. 12), with a = 6.0197 Å, b = 10.4142 Å, c = 5.9854 Å, α = 90.00°, β = 109.52° and γ = 90.00°. The inequivalent atoms are Ca at (0.0000, 0.1668, 0.0000), Dy at (0.0000, 0.0000, 0.5000), Dy at (0.0000, 0.3317, 0.5000), Np at (0.0000, 0.5000, 0.0000), N at (0.2162, 0.5000, 0.7604) and N at (0.2364, 0.3480, 0.2519).

***

# 8
Entry from Alexandria via LeMat-Bulk: a relaxed structure of Cs2BaCu2I7 (GGA-PBE).

For the raw total energy, the calculation gives -68.26 eV/cell. For the formation energy without anion corrections, the calculation gives -0.955 eV/atom.

It has space group C2/m (No. 12), with a = 8.0757 Å, b = 8.0771 Å, c = 15.3724 Å, α = 90.00°, β = 105.18° and γ = 90.00°. The inequivalent atoms are Cs at (0.1778, 0.0000, 0.3587), Ba at (0.0000, 0.0000, 0.0000), Cu at (0.0980, 0.5000, 0.1916), I at (0.0000, 0.5000, 0.0000), I at (0.1656, 0.2501, 0.8310) and I at (0.1864, 0.5000, 0.3754).